## Ba5Cd2N (PBE-GGA)

Data for Ba5Cd2N after structural relaxation.

Properties
For the density, the calculation gives 4.7 Mg/m³. Its symmetry is Pnma, No. 62. As for the uncorrected energy: -0.1003 hartree per atom. As for the total magnetic moment: 0.0 μB/cell.

Geometry as extended XYZ:
```
32
Lattice="8.049 0.000 0.000 0.000 10.571 0.000 0.000 0.000 15.326" Properties=species:S:1:pos:R:3 pbc="T T T"
Ba 6.037 7.695 1.712
Ba 2.012 2.876 13.613
Ba 2.012 8.162 9.375
Ba 6.037 2.409 5.951
Ba 4.029 6.940 13.661
Ba 4.020 3.631 1.665
Ba 4.020 8.917 5.998
Ba 0.005 3.631 1.665
Ba 4.029 1.654 9.327
Ba 8.044 6.940 13.661
Ba 8.044 1.654 9.327
Ba 0.005 8.917 5.998
Ba 4.025 0.000 0.000
Ba 4.025 5.286 7.663
Ba 0.000 0.000 0.000
Ba 0.000 5.286 7.663
Ba 6.037 9.871 12.089
Ba 2.012 0.700 3.237
Ba 2.012 5.986 4.426
Ba 6.037 4.586 10.899
Cd 6.037 5.739 4.657
Cd 2.012 4.832 10.669
Cd 2.012 10.118 12.320
Cd 6.037 0.454 3.006
Cd 6.037 8.183 8.976
Cd 2.012 2.388 6.350
Cd 2.012 7.674 1.313
Cd 6.037 2.898 14.012
N 6.037 8.536 14.367
N 2.012 2.035 0.959
N 2.012 7.321 6.704
N 6.037 3.250 8.622
```